Record 1
First-principles (PBE) data for a geometry-optimized LiTb2Zn4Ga3 structure, as listed in the Alexandria database.

The electronic total energy comes out at -2.93 eV/atom. For the density of states at the Fermi level, the calculation gives 0.46 states/eV per atom. The value obtained for the energy relative to the elements is -0.3993 eV/atom.

Cell and atoms, written as CIF:
```
data_LiTb2Zn4Ga3
_symmetry_space_group_name_H-M 'P -4 m 2'
_symmetry_Int_Tables_number 115
_cell_length_a 4.194
_cell_length_b 4.194
_cell_length_c 10.520
_cell_angle_alpha 90.00
_cell_angle_beta 90.00
_cell_angle_gamma 90.00
loop_
_symmetry_equiv_pos_as_xyz
'x,y,z'
'y,-x,-z'
'-x,-y,z'
'-y,x,-z'
'-x,y,z'
'-y,-x,-z'
'x,-y,z'
'y,x,-z'
loop_
_atom_site_label
_atom_site_type_symbol
_atom_site_fract_x
_atom_site_fract_y
_atom_site_fract_z
Li1 Li 0.000 0.000 0.000
Tb1 Tb 0.000 0.500 0.745
Zn1 Zn 0.000 0.000 0.500
Zn2 Zn 0.000 0.500 0.129
Zn3 Zn 0.500 0.500 0.500
Ga1 Ga 0.000 0.500 0.360
Ga2 Ga 0.500 0.500 0.000
```


Record 2
First-principles (PBE) data for a geometry-optimized LiTbZnGa structure, as listed in the Alexandria database.

The electronic total energy comes out at -3.10 eV/atom. For the density of states at the Fermi level, the calculation gives 0.51 states/eV per atom. The value obtained for the energy relative to the elements is -0.3846 eV/atom.

Cell and atoms, written as CIF:
```
data_LiTbZnGa
_symmetry_space_group_name_H-M 'F -4 3 m'
_symmetry_Int_Tables_number 216
_symmetry_space_group_name_Hall 'F -4 2 3'
_cell_length_a 6.785
_cell_length_b 6.785
_cell_length_c 6.785
_cell_angle_alpha 90.00
_cell_angle_beta 90.00
_cell_angle_gamma 90.00
loop_
_atom_site_label
_atom_site_type_symbol
_atom_site_fract_x
_atom_site_fract_y
_atom_site_fract_z
Li1 Li 0.000 0.000 0.000
Tb1 Tb 0.000 0.000 0.500
Zn1 Zn 0.250 0.250 0.250
Ga1 Ga 0.250 0.250 0.750
```


Record 3
First-principles (PBE) data for a geometry-optimized Li2TbZn2Ga2 structure, as listed in the Alexandria database.

The electronic total energy comes out at -2.80 eV/atom. For the density of states at the Fermi level, the calculation gives 0.46 states/eV per atom. The value obtained for the energy relative to the elements is -0.3672 eV/atom.

Cell and atoms, written as CIF:
```
data_Li2TbZn2Ga2
_symmetry_space_group_name_H-M 'C 1 2/m 1'
_symmetry_Int_Tables_number 12
_cell_length_a 7.599
_cell_length_b 4.395
_cell_length_c 8.084
_cell_angle_alpha 90.00
_cell_angle_beta 108.71
_cell_angle_gamma 90.00
loop_
_symmetry_equiv_pos_as_xyz
'x,y,z'
'-x,-y,-z'
'-x,y,-z'
'x,-y,z'
'x+1/2,y+1/2,z'
'-x+1/2,-y+1/2,-z'
'-x+1/2,y+1/2,-z'
'x+1/2,-y+1/2,z'
loop_
_atom_site_label
_atom_site_type_symbol
_atom_site_fract_x
_atom_site_fract_y
_atom_site_fract_z
Li1 Li 0.139 0.000 0.413
Tb1 Tb 0.000 0.000 0.000
Zn1 Zn 0.081 0.500 0.747
Ga1 Ga 0.242 0.500 0.221
```


Record 4
First-principles (PBE) data for a geometry-optimized LiTbZn2Ga4 structure, as listed in the Alexandria database.

The electronic total energy comes out at -2.92 eV/atom. For the density of states at the Fermi level, the calculation gives 0.30 states/eV per atom. The value obtained for the energy relative to the elements is -0.2652 eV/atom.

Cell and atoms, written as CIF:
```
data_LiTbZn2Ga4
_symmetry_space_group_name_H-M 'R -3 m'
_symmetry_Int_Tables_number 166
_symmetry_space_group_name_Hall '-R 3 2"'
_cell_length_a 4.4119
_cell_length_b 4.4119
_cell_length_c 25.4203
_cell_angle_alpha 90.00
_cell_angle_beta 90.00
_cell_angle_gamma 120.00
loop_
_atom_site_label
_atom_site_type_symbol
_atom_site_fract_x
_atom_site_fract_y
_atom_site_fract_z
Li1 Li 0.0000 0.0000 0.0000
Tb1 Tb 0.0000 0.0000 0.5000
Zn1 Zn 0.0000 0.0000 0.2551
Ga1 Ga 0.0000 0.0000 0.1055
Ga2 Ga 0.0000 0.0000 0.3700
```